<a>
Computed, not measured: a relaxed Ac6CdGa2 crystal at the GGA-PBE level of DFT.

Properties
Its symmetry is P2_1/c. The size of the total moment is 0.00 μB per formula unit.

Unit cell a=7.1967 b=8.9444 c=12.1406 alpha=90.00 beta=120.65 gamma=90.00
Last column: nearest neighbours and their distance in Å.
Fractional coordinates of all 18 atoms:
Ac1 0.0605 0.0551 0.2242  1 Cd 3.27, 2 Ga 3.33
Ac2 0.0605 0.4449 0.7242  1 Cd 3.27, 2 Ga 3.33
Ac3 0.1873 0.6958 0.0727  1 Cd 3.31, 2 Ga 3.38-3.51
Ac4 0.1873 0.8042 0.5727  1 Cd 3.31, 2 Ga 3.38-3.51
Ac5 0.4111 0.1547 0.0616  3 Ga 3.29-3.57, 1 Cd 3.32, 1 Ac 3.67
Ac6 0.4111 0.3453 0.5616  3 Ga 3.29-3.57, 1 Cd 3.32, 1 Ac 3.67
Ac7 0.5889 0.6547 0.4384  3 Ga 3.29-3.57, 1 Cd 3.32, 1 Ac 3.67
Ac8 0.5889 0.8453 0.9384  3 Ga 3.29-3.57, 1 Cd 3.32, 1 Ac 3.67
Ac9 0.8127 0.1958 0.4273  1 Cd 3.31, 2 Ga 3.38-3.51
Ac10 0.8127 0.3042 0.9273  1 Cd 3.31, 2 Ga 3.38-3.51
Ac11 0.9395 0.5551 0.2758  1 Cd 3.27, 2 Ga 3.33
Ac12 0.9395 0.9449 0.7758  1 Cd 3.27, 2 Ga 3.33
Cd1 0.5000 0.0000 0.5000  6 Ac 3.27-3.32
Cd2 0.5000 0.5000 0.0000  6 Ac 3.27-3.32
Ga1 0.3131 0.1250 0.7429  7 Ac 3.29-3.57
Ga2 0.3131 0.3750 0.2429  7 Ac 3.29-3.57
Ga3 0.6869 0.6250 0.7571  7 Ac 3.29-3.57
Ga4 0.6869 0.8750 0.2571  7 Ac 3.29-3.57



<b>
Computed, not measured: a relaxed Ac6CdGa2 crystal at the GGA-PBE level of DFT.

Properties
Its symmetry is Immm. The size of the total moment is 0.00 μB per formula unit.

Unit cell a=9.5297 b=9.5297 c=9.5297 alpha=111.58 beta=110.78 gamma=106.11
Last column: nearest neighbours and their distance in Å.
Fractional coordinates of all 18 atoms:
Ac1 0.0484 0.2447 0.8037  1 Ga 3.26, 2 Cd 3.52-3.62
Ac2 0.1767 0.2742 0.4509  3 Ga 3.36-3.49, 1 Cd 3.51
Ac3 0.1767 0.7258 0.9025  3 Ga 3.36-3.49, 1 Cd 3.51
Ac4 0.3260 0.0254 0.6993  3 Ga 3.22-3.34
Ac5 0.3260 0.6267 0.3007  3 Ga 3.22-3.34
Ac6 0.4410 0.2447 0.1963  1 Ga 3.26, 2 Cd 3.52-3.62
Ac7 0.5590 0.7553 0.8037  1 Ga 3.26, 2 Cd 3.52-3.62
Ac8 0.6740 0.3733 0.6993  3 Ga 3.22-3.34
Ac9 0.6740 0.9746 0.3007  3 Ga 3.22-3.34
Ac10 0.8233 0.2742 0.0975  3 Ga 3.36-3.49, 1 Cd 3.51
Ac11 0.8233 0.7258 0.5491  3 Ga 3.36-3.49, 1 Cd 3.51
Ac12 0.9516 0.7553 0.1963  1 Ga 3.26, 2 Cd 3.52-3.62
Cd1 0.0000 0.0000 0.0000  8 Ac 3.51-3.52, 2 Ga 3.80
Cd2 0.5000 0.5000 0.0000  8 Ac 3.62-3.79
Ga1 0.1152 0.6152 0.5000  1 Ga 2.64
Ga2 0.3506 0.0000 0.3506  1 Ga 3.23, 8 Ac 3.26-3.49
Ga3 0.6494 0.0000 0.6494  1 Ga 3.23, 8 Ac 3.26-3.49
Ga4 0.8848 0.3848 0.5000  1 Ga 2.64



Short version: <a> is the least stable of them.